No. 1
The following is a DFT calculation (PBE) of a relaxed structure of YFeNiP2.

Values from the calculation:
E_form	-957	meV/atom
total magnetization	0.299	μB/atom
energy	-7.263	eV/atom

Cell lengths 3.8524, 3.8524, 9.5496 Å; angles 90.00, 90.00, 90.00 degrees
Space group I-4m2 (No. 119)
Symmetry-distinct sites (fractional):
Y1 0.0000 0.0000 0.0000 x2
Fe1 0.0000 0.5000 0.2500 x2
Ni1 0.0000 0.5000 0.7500 x2
P1 0.0000 0.0000 0.3736 x4


No. 2
The following is a DFT calculation (PBE) of a relaxed structure of YTa5.

Values from the calculation:
E_form	279	meV/atom
total magnetization	0.000	μB/atom
offset from the most stable computed form	15	meV/atom
energy	-10.675	eV/atom

Cell lengths 7.8770, 7.8770, 7.8770 Å; angles 90.00, 90.00, 90.00 degrees
Space group F-43m (No. 216)
Symmetry-distinct sites (fractional):
Y1 0.0000 0.0000 0.0000 x4
Ta1 0.1251 0.1251 0.3749 x16
Ta2 0.2500 0.2500 0.7500 x4


No. 3
The following is a DFT calculation (PBE) of a relaxed structure of PrCu2O4.

Values from the calculation:
total magnetization	0.123	μB/atom
offset from the most stable computed form	0	meV/atom
energy	-6.290	eV/atom

Cell lengths 5.8783, 5.8783, 9.7833 Å; angles 90.00, 90.00, 90.00 degrees
Space group I4_1/a (No. 88, origin choice 2)
Symmetry-distinct sites (fractional):
Pr1 0.0000 0.2500 0.1250 x4
Cu1 0.0000 0.0000 0.5000 x8
O1 0.1447 0.4702 0.3249 x16


No. 4
The following is a DFT calculation (PBE) of a relaxed structure of SbMo.

Values from the calculation:
total magnetization	0.000	μB/atom
energy	-7.406	eV/atom

Cell lengths 3.2428, 3.2428, 8.1169 Å; angles 90.00, 90.00, 90.00 degrees
Space group P4/nmm (No. 129, origin choice 2)
Symmetry-distinct sites (fractional):
Sb1 0.2500 0.2500 0.1906 x2
Mo1 0.2500 0.2500 0.5853 x2